1.
The following is a DFT calculation (PBEsol) of BaSi2PdI after structural relaxation.

Lattice parameters (Å, degrees): 4.645 4.645 6.653 90.00 90.00 90.00
Atoms (fractional coordinates):
1 Ba 0.000 0.000 0.000
2 Si 0.000 0.500 0.500
3 Si 0.500 0.000 0.500
4 Pd 0.000 0.000 0.500
5 I 0.500 0.500 0.000

Computed properties:
**Formation energy without anion corrections**: -0.3307 eV per atom
**M_tot**: 0.00 μB/cell

=====

2.
The following is a DFT calculation (PBEsol) of KNaAl6Si6H4O24 after structural relaxation.

Lattice parameters (Å, degrees): 5.162 8.964 19.924 90.00 95.19 90.00
Atoms (fractional coordinates):
1 K 0.000 0.100 0.250
2 K 0.000 0.900 0.750
3 Na 0.500 0.435 0.750
4 Na 0.500 0.565 0.250
5 Al 0.248 0.086 0.001
6 Al 0.248 0.914 0.501
7 Al 0.253 0.416 0.000
8 Al 0.253 0.584 0.500
9 Al 0.462 0.262 0.137
10 Al 0.462 0.738 0.637
11 Al 0.538 0.262 0.363
12 Al 0.538 0.738 0.863
13 Al 0.747 0.416 0.500
14 Al 0.747 0.584 0.000
15 Al 0.752 0.086 0.499
16 Al 0.752 0.914 0.999
17 Si 0.019 0.432 0.362
18 Si 0.019 0.568 0.862
19 Si 0.055 0.243 0.864
20 Si 0.055 0.757 0.364
21 Si 0.456 0.070 0.637
22 Si 0.456 0.930 0.137
23 Si 0.544 0.070 0.863
24 Si 0.544 0.930 0.363
25 Si 0.945 0.243 0.636
26 Si 0.945 0.757 0.136
27 Si 0.981 0.432 0.138
28 Si 0.981 0.568 0.638
29 H 0.120 0.143 0.428
30 H 0.120 0.857 0.928
31 H 0.362 0.342 0.557
32 H 0.362 0.658 0.057
33 H 0.638 0.342 0.943
34 H 0.638 0.658 0.443
35 H 0.880 0.143 0.072
36 H 0.880 0.857 0.572
37 O 0.033 0.450 0.445
38 O 0.033 0.550 0.945
39 O 0.044 0.057 0.449
40 O 0.044 0.943 0.949
41 O 0.107 0.249 0.945
42 O 0.107 0.406 0.830
43 O 0.107 0.594 0.330
44 O 0.107 0.751 0.445
45 O 0.210 0.301 0.342
46 O 0.210 0.699 0.842
47 O 0.246 0.195 0.659
48 O 0.246 0.805 0.159
49 O 0.257 0.130 0.831
50 O 0.257 0.870 0.331
51 O 0.272 0.398 0.173
52 O 0.272 0.602 0.673
53 O 0.377 0.251 0.050
54 O 0.377 0.749 0.550
55 O 0.402 0.087 0.172
56 O 0.402 0.913 0.672
57 O 0.454 0.435 0.550
58 O 0.454 0.565 0.050
59 O 0.461 0.058 0.555
60 O 0.461 0.942 0.055
61 O 0.539 0.058 0.945
62 O 0.539 0.942 0.445
63 O 0.546 0.435 0.950
64 O 0.546 0.565 0.450
65 O 0.598 0.087 0.328
66 O 0.598 0.913 0.828
67 O 0.623 0.251 0.450
68 O 0.623 0.749 0.950
69 O 0.728 0.398 0.327
70 O 0.728 0.602 0.827
71 O 0.743 0.130 0.669
72 O 0.743 0.870 0.169
73 O 0.754 0.195 0.841
74 O 0.754 0.805 0.341
75 O 0.790 0.301 0.158
76 O 0.790 0.699 0.658
77 O 0.893 0.249 0.555
78 O 0.893 0.406 0.670
79 O 0.893 0.594 0.170
80 O 0.893 0.751 0.055
81 O 0.956 0.057 0.051
82 O 0.956 0.943 0.551
83 O 0.967 0.450 0.055
84 O 0.967 0.550 0.555

Computed properties:
**Electronic total energy**: -7.41 eV per atom
**M_tot**: 0.00 μB/cell

=====

3.
The following is a DFT calculation (PBEsol) of Te3POs after structural relaxation.

Lattice parameters (Å, degrees): 5.111 5.111 5.111 90.00 90.00 90.00
Atoms (fractional coordinates):
1 Te 0.000 0.000 0.500
2 Te 0.000 0.500 0.000
3 Te 0.500 0.000 0.000
4 P 0.500 0.500 0.500
5 Os 0.000 0.000 0.000

Computed properties:
**Formation energy without anion corrections**: 1.0482 eV per atom
**M_tot**: 0.00 μB/cell

=====

4.
The following is a DFT calculation (PBEsol) of SrNiI3 after structural relaxation.

Lattice parameters (Å, degrees): 6.214 6.214 6.214 90.00 90.00 90.00
Atoms (fractional coordinates):
1 Sr 0.000 0.000 0.000
2 Ni 0.500 0.500 0.500
3 I 0.000 0.000 0.500
4 I 0.000 0.500 0.000
5 I 0.500 0.000 0.000

Computed properties:
**Formation energy without anion corrections**: 0.0568 eV per atom
**M_tot**: 1.04 μB/cell

=====

5.
The following is a DFT calculation (PBEsol) of BaZrFe2 after structural relaxation.

Lattice parameters (Å, degrees): 3.756 6.437 6.437 35.85 90.00 90.00
Atoms (fractional coordinates):
1 Ba 0.000 0.000 0.000
2 Zr 0.500 0.729 0.729
3 Fe 0.000 0.279 0.279
4 Fe 0.500 0.354 0.354

Computed properties:
**ΔE_f**: 0.4292 eV per atom
**Polymorph energy (0 for the lowest one)**: 0.000 eV per atom
**M_tot**: 0.00 μB/cell

=====

6.
The following is a DFT calculation (PBEsol) of MnTl2Ir after structural relaxation.

Lattice parameters (Å, degrees): 3.055 3.055 9.108 90.00 90.00 118.92
Atoms (fractional coordinates):
1 Mn 0.000 0.000 0.000
2 Tl 0.500 0.500 0.251
3 Tl 0.500 0.500 0.749
4 Ir 0.000 0.000 0.500

Computed properties:
**ΔE_f**: 0.6791 eV per atom
**Polymorph energy (0 for the lowest one)**: 0.347 eV per atom
**M_tot**: 3.45 μB/cell

=====

7.
The following is a DFT calculation (PBEsol) of ZrSbI2N after structural relaxation.

Lattice parameters (Å, degrees): 5.647 5.647 5.587 90.00 90.00 90.00
Atoms (fractional coordinates):
1 Zr 0.000 0.000 0.000
2 Sb 0.000 0.000 0.500
3 I 0.000 0.500 0.000
4 I 0.500 0.000 0.000
5 N 0.500 0.500 0.500

Computed properties:
**Formation energy without anion corrections**: 0.8654 eV per atom
**Polymorph energy (0 for the lowest one)**: 0.029 eV per atom
**M_tot**: 2.27 μB/cell

=====

8.
The following is a DFT calculation (PBEsol) of MnBeAu2 after structural relaxation.

Lattice parameters (Å, degrees): 4.217 4.217 3.207 90.00 90.00 90.00
Atoms (fractional coordinates):
1 Mn 0.000 0.000 0.000
2 Be 0.500 0.500 0.000
3 Au 0.000 0.500 0.500
4 Au 0.500 0.000 0.500

Computed properties:
**ΔE_f**: 0.0540 eV per atom
**M_tot**: 3.82 μB/cell

=====

9.
The following is a DFT calculation (PBEsol) of Sr2LaAu after structural relaxation.

Lattice parameters (Å, degrees): 3.827 3.827 10.014 90.00 90.00 90.00
Atoms (fractional coordinates):
1 Sr 0.000 0.000 0.000
2 Sr 0.500 0.500 0.338
3 La 0.500 0.500 0.690
4 Au 0.000 0.000 0.537

Computed properties:
**ΔE_f**: -0.3231 eV per atom
**Polymorph energy (0 for the lowest one)**: 0.000 eV per atom
**M_tot**: 0.00 μB/cell

=====

10.
The following is a DFT calculation (PBEsol) of Cd5H18C8N20Cl4O2 after structural relaxation.

Lattice parameters (Å, degrees): 9.080 10.223 13.973 90.00 94.70 90.00
Atoms (fractional coordinates):
1 Cd 0.000 0.000 0.000
2 Cd 0.000 0.500 0.500
3 Cd 0.189 0.173 0.511
4 Cd 0.189 0.327 0.011
5 Cd 0.482 0.544 0.878
6 Cd 0.482 0.956 0.378
7 Cd 0.518 0.044 0.622
8 Cd 0.518 0.456 0.122
9 Cd 0.811 0.673 0.989
10 Cd 0.811 0.827 0.489
11 H 0.006 0.534 0.130
12 H 0.006 0.966 0.630
13 H 0.164 0.051 0.329
14 H 0.164 0.449 0.829
15 H 0.195 0.702 0.628
16 H 0.195 0.798 0.128
17 H 0.254 0.697 0.747
18 H 0.254 0.803 0.247
19 H 0.328 0.524 0.444
20 H 0.328 0.976 0.944
21 H 0.349 0.160 0.768
22 H 0.349 0.340 0.268
23 H 0.447 0.631 0.397
24 H 0.447 0.869 0.897
25 H 0.475 0.207 0.463
26 H 0.475 0.293 0.963
27 H 0.486 0.737 0.714
28 H 0.486 0.763 0.214
29 H 0.514 0.237 0.786
30 H 0.514 0.263 0.286
31 H 0.525 0.707 0.037
32 H 0.525 0.793 0.537
33 H 0.553 0.131 0.103
34 H 0.553 0.369 0.603
35 H 0.651 0.660 0.732
36 H 0.651 0.840 0.232
37 H 0.672 0.024 0.056
38 H 0.672 0.476 0.556
39 H 0.746 0.197 0.753
40 H 0.746 0.303 0.253
41 H 0.805 0.202 0.872
42 H 0.805 0.298 0.372
43 H 0.836 0.551 0.171
44 H 0.836 0.949 0.671
45 H 0.994 0.034 0.370
46 H 0.994 0.466 0.870
47 C 0.137 0.613 0.907
48 C 0.137 0.887 0.407
49 C 0.254 0.709 0.433
50 C 0.254 0.791 0.933
51 C 0.278 0.528 0.675
52 C 0.278 0.972 0.175
53 C 0.354 0.167 0.200
54 C 0.354 0.333 0.700
55 C 0.646 0.667 0.300
56 C 0.646 0.833 0.800
57 C 0.722 0.028 0.825
58 C 0.722 0.472 0.325
59 C 0.746 0.209 0.067
60 C 0.746 0.291 0.567
61 C 0.863 0.113 0.593
62 C 0.863 0.387 0.093
63 N 0.045 0.693 0.945
64 N 0.045 0.807 0.445
65 N 0.107 0.017 0.384
66 N 0.107 0.483 0.884
67 N 0.120 0.691 0.463
68 N 0.120 0.809 0.963
69 N 0.210 0.045 0.106
70 N 0.210 0.455 0.606
71 N 0.263 0.170 0.121
72 N 0.263 0.330 0.621
73 N 0.267 0.662 0.680
74 N 0.267 0.838 0.180
75 N 0.271 0.668 0.896
76 N 0.271 0.832 0.396
77 N 0.365 0.619 0.442
78 N 0.365 0.881 0.942
79 N 0.368 0.044 0.238
80 N 0.368 0.456 0.738
81 N 0.424 0.220 0.737
82 N 0.424 0.280 0.237
83 N 0.576 0.720 0.763
84 N 0.576 0.780 0.263
85 N 0.632 0.544 0.262
86 N 0.632 0.956 0.762
87 N 0.635 0.119 0.058
88 N 0.635 0.381 0.558
89 N 0.729 0.168 0.604
90 N 0.729 0.332 0.104
91 N 0.733 0.162 0.820
92 N 0.733 0.338 0.320
93 N 0.737 0.670 0.379
94 N 0.737 0.830 0.879
95 N 0.790 0.545 0.394
96 N 0.790 0.955 0.894
97 N 0.880 0.191 0.037
98 N 0.880 0.309 0.537
99 N 0.893 0.517 0.116
100 N 0.893 0.983 0.616
101 N 0.955 0.193 0.555
102 N 0.955 0.307 0.055
103 Cl 0.150 0.145 0.877
104 Cl 0.150 0.355 0.377
105 Cl 0.246 0.531 0.134
106 Cl 0.246 0.969 0.634
107 Cl 0.754 0.031 0.366
108 Cl 0.754 0.469 0.866
109 Cl 0.850 0.645 0.623
110 Cl 0.850 0.855 0.123
111 O 0.423 0.126 0.477
112 O 0.423 0.374 0.977
113 O 0.577 0.626 0.023
114 O 0.577 0.874 0.523

Computed properties:
**Electronic total energy**: -6.19 eV per atom
**M_tot**: 0.00 μB/cell

=====

11.
The following is a DFT calculation (PBEsol) of LiAl3Cu after structural relaxation.

Lattice parameters (Å, degrees): 4.340 4.340 4.340 90.00 90.00 90.00
Atoms (fractional coordinates):
1 Li 0.000 0.000 0.000
2 Al 0.000 0.000 0.500
3 Al 0.000 0.500 0.000
4 Al 0.500 0.000 0.000
5 Cu 0.500 0.500 0.500

Computed properties:
**ΔE_f**: 0.6635 eV per atom
**M_tot**: 0.00 μB/cell

=====

12.
The following is a DFT calculation (PBEsol) of MgMnI3 after structural relaxation.

Lattice parameters (Å, degrees): 5.510 5.510 5.510 90.00 90.00 90.00
Atoms (fractional coordinates):
1 Mg 0.000 0.000 0.000
2 Mn 0.500 0.500 0.500
3 I 0.000 0.500 0.500
4 I 0.500 0.000 0.500
5 I 0.500 0.500 0.000

Computed properties:
**Formation energy without anion corrections**: -0.0922 eV per atom
**M_tot**: 4.26 μB/cell